DFT (GGA-PBE) results for a geometry-optimized TbPmTmMg structure.

Cell and atoms, written as POSCAR:
```
TbPmTmMg
1.0
-5.0744 0.1214 2.1754
-0.8531 -1.8743 5.1240
-1.1734 3.5379 4.0746
Tb Tm Pm Mg
1 1 1 1
direct
0.2500 0.2500 0.2500
0.5000 0.5000 0.5000
0.7500 0.7500 0.7500
0.0000 0.0000 0.0000
```

ΔE to the lowest computed polymorph = 49 meV/atom
D(E_F) = 1.113 states/eV per atom
Magnetic moment = 0.0000 μB/atom
ΔE_f = 0.02 eV/atom